Entry P
# PBE TlTe3Rh, relaxed
data_TlTe3Rh
_chemical_formula_sum 'Tl1 Te3 Rh1'
_cell_length_a 5.704
_cell_length_b 5.704
_cell_length_c 5.704
_cell_angle_alpha 90.00
_cell_angle_beta 90.00
_cell_angle_gamma 90.00
_space_group_name_H-M_alt 'P m -3 m'
_space_group_IT_number 221
_space_group_name_Hall '-P 4 2 3'
loop_
_atom_site_label
_atom_site_fract_x
_atom_site_fract_y
_atom_site_fract_z
Tl1 0.000 0.000 0.000
Te1 0.000 0.000 0.500
Rh1 0.500 0.500 0.500
# Magnetic moment: 2.35 μB per cell
# Volume: 37.11 Å³ per atom


Entry Q
# PBE TlTe3Rh, relaxed
data_TlTe3Rh
_chemical_formula_sum 'Tl1 Te3 Rh1'
_cell_length_a 5.342
_cell_length_b 5.342
_cell_length_c 5.342
_cell_angle_alpha 90.00
_cell_angle_beta 90.00
_cell_angle_gamma 90.00
_space_group_name_H-M_alt 'P m -3 m'
_space_group_IT_number 221
_space_group_name_Hall '-P 4 2 3'
loop_
_atom_site_label
_atom_site_fract_x
_atom_site_fract_y
_atom_site_fract_z
Tl1 0.000 0.000 0.000
Te1 0.000 0.500 0.500
Rh1 0.500 0.500 0.500
# Magnetic moment: 0.00 μB per cell
# Volume: 30.49 Å³ per atom


Quick one: most stable of them? entry Q


Entry P
# PBE Tm4TeRh, relaxed
data_Tm4TeRh
_chemical_formula_sum 'Tm16 Te4 Rh4'
_cell_length_a 17.662
_cell_length_b 5.221
_cell_length_c 9.273
_cell_angle_alpha 90.00
_cell_angle_beta 109.05
_cell_angle_gamma 90.00
_space_group_name_H-M_alt 'C 1 2/m 1'
_space_group_IT_number 12
loop_
_space_group_symop_operation_xyz
'x,y,z'
'-x,-y,-z'
'-x,y,-z'
'x,-y,z'
'x+1/2,y+1/2,z'
'-x+1/2,-y+1/2,-z'
'-x+1/2,y+1/2,-z'
'x+1/2,-y+1/2,z'
loop_
_atom_site_label
_atom_site_fract_x
_atom_site_fract_y
_atom_site_fract_z
Tm1 0.015 0.000 0.247
Tm2 0.101 0.500 0.031
Tm3 0.201 0.000 0.906
Tm4 0.237 0.000 0.300
Te1 0.156 0.000 0.554
Rh1 0.092 0.000 0.050
# Magnetic moment: 0.00 μB per cell
# Volume: 33.68 Å³ per atom


Entry Q
# PBE Tm4TeRh, relaxed
data_Tm4TeRh
_chemical_formula_sum 'Tm16 Te4 Rh4'
_cell_length_a 8.124
_cell_length_b 3.907
_cell_length_c 19.206
_cell_angle_alpha 90.00
_cell_angle_beta 90.00
_cell_angle_gamma 90.00
_space_group_name_H-M_alt 'P n m a'
_space_group_IT_number 62
loop_
_space_group_symop_operation_xyz
'x,y,z'
'-x,-y,-z'
'-x+1/2,-y,z+1/2'
'x+1/2,y,-z+1/2'
'x+1/2,-y+1/2,-z+1/2'
'-x+1/2,y+1/2,z+1/2'
'-x,y+1/2,-z'
'x,-y+1/2,z'
loop_
_atom_site_label
_atom_site_fract_x
_atom_site_fract_y
_atom_site_fract_z
Tm1 0.008 0.250 0.068
Tm2 0.043 0.750 0.215
Tm3 0.138 0.750 0.648
Tm4 0.142 0.750 0.451
Te1 0.242 0.250 0.312
Rh1 0.236 0.250 0.550
# Magnetic moment: 0.00 μB per cell
# Volume: 25.40 Å³ per atom


Quick one: most stable of them? entry Q